Density functional theory data (PBE+U) for a relaxed structure of CaV2PdO8.

CIF file:
```
data_CaV2PdO8
_chemical_formula_sum 'Ca1 V2 Pd1 O8'
_cell_length_a 5.6280
_cell_length_b 5.6280
_cell_length_c 6.4186
_cell_angle_alpha 90.00
_cell_angle_beta 90.00
_cell_angle_gamma 120.00
_symmetry_space_group_name_H-M 'P -3 m 1'
_symmetry_Int_Tables_number 164
_symmetry_space_group_name_Hall '-P 3 2"'
loop_
_atom_site_label
_atom_site_fract_x
_atom_site_fract_y
_atom_site_fract_z
Ca1 0.0000 0.0000 0.0000
V1 0.3333 0.6667 0.2347
Pd1 0.0000 0.0000 0.5000
O1 0.1562 0.3123 0.2986
O2 0.3333 0.6667 0.9775
```

Results
- total magnetic moment (μB per cell) = 0.000
- final energy (eV per atom) = -6.781